Record 1
PBE-GGA Na3DyTm3Te8, relaxed; M_tot = 0.00 μB/f.u.; space group = C2/m, No. 12; E_form (uncorrected) = -1.24 eV/atom
1.0
7.490 -4.322 0.000
7.490 4.322 0.000
-4.999 0.000 7.697
Na Dy Tm Te
3 1 3 8
Cartesian
0.000 0.000 0.000 Na
3.745 2.161 0.000 Na
3.745 -2.161 0.000 Na
-2.499 0.000 3.849 Dy
1.246 2.161 3.849 Tm
1.246 -2.161 3.849 Tm
4.991 0.000 3.849 Tm
0.037 0.000 5.624 Te
3.724 2.126 5.623 Te
2.495 0.000 2.079 Te
6.257 2.126 2.074 Te
3.724 -2.126 5.623 Te
7.487 0.000 5.618 Te
6.257 -2.126 2.074 Te
9.944 0.000 2.074 Te



Record 2
PBE-GGA BRu2I, relaxed; M_tot = 0.00 μB/f.u.; E above lowest polymorph = 0 meV per atom; space group = I-42d, No. 122; E_form (uncorrected) = 0.58 eV/atom
1.0
-2.574 2.574 5.451
2.574 -2.574 5.451
2.574 2.574 -5.451
B Ru I
2 4 2
Cartesian
0.000 0.000 0.000 B
0.000 2.574 2.726 B
3.861 0.797 -1.363 Ru
0.797 1.287 1.363 Ru
-1.287 1.777 4.089 Ru
1.777 1.287 6.814 Ru
2.574 0.000 2.726 I
0.000 0.000 5.451 I



Record 3
PBE-GGA La2YAg, relaxed; M_tot = 0.00 μB/f.u.; E above lowest polymorph = 146 meV per atom; space group = P4/mmm, No. 123; calculated formation energy = 0.0196 eV per atom
1.0
4.954 0.000 0.000
0.000 4.954 0.000
0.000 0.000 4.943
La Y Ag
2 1 1
Cartesian
0.000 2.477 0.000 La
2.477 0.000 0.000 La
0.000 0.000 2.471 Y
2.477 2.477 2.471 Ag